# 1
# SmZnPO, PBEsol geometry, DFT meta-GGA SCAN
data_SmZnPO
_space_group_name_H-M_alt 'R -3 m'
_space_group_IT_number 166
_space_group_name_Hall '-R 3 2"'
_cell_length_a 3.9105
_cell_length_b 3.9105
_cell_length_c 30.4426
_cell_angle_alpha 90.00
_cell_angle_beta 90.00
_cell_angle_gamma 120.00
loop_
_atom_site_label
_atom_site_fract_x
_atom_site_fract_y
_atom_site_fract_z
_atom_site_occupancy
Sm1 0.0000 0.0000 0.1191 1
Zn1 0.0000 0.0000 0.3040 1
P1 0.0000 0.0000 0.3867 1
O1 0.0000 0.0000 0.1949 1
# **Fermi-level density of states**: 0.0000 states/eV per atom
# **Total moment**: 0.0 μB per formula unit
# **Formation energy (no corrections)**: -2057 meV/atom
# **E_tot**: -20.7039 eV/atom

---

# 2
# K2Ta, PBEsol geometry, DFT meta-GGA SCAN
data_K2Ta
_space_group_name_H-M_alt 'P 63/m m c'
_space_group_IT_number 194
_space_group_name_Hall '-P 6c 2c'
_cell_length_a 6.1050
_cell_length_b 6.1050
_cell_length_c 7.4453
_cell_angle_alpha 90.00
_cell_angle_beta 90.00
_cell_angle_gamma 120.00
loop_
_atom_site_label
_atom_site_fract_x
_atom_site_fract_y
_atom_site_fract_z
_atom_site_occupancy
K1 0.0000 0.0000 0.0000 1
K2 0.3333 0.6667 0.2500 1
Ta1 0.3333 0.6667 0.7500 1
# **DFT formation energy**: 1.893 eV per atom
# **Fermi-level density of states**: 1.0760 states/eV per atom
# **Total moment**: 5.0 μB per formula unit
# **Energy relative to the lowest polymorph listed for this composition**: 0.750 eV/atom
# **E_tot**: -25.8543 eV/atom

---

# 3
# SrZnMo2, PBEsol geometry, DFT meta-GGA SCAN
data_SrZnMo2
_space_group_name_H-M_alt 'P 4/m m m'
_space_group_IT_number 123
_space_group_name_Hall '-P 4 2'
_cell_length_a 3.4559
_cell_length_b 3.4559
_cell_length_c 6.9274
_cell_angle_alpha 90.00
_cell_angle_beta 90.00
_cell_angle_gamma 90.00
loop_
_atom_site_label
_atom_site_fract_x
_atom_site_fract_y
_atom_site_fract_z
_atom_site_occupancy
Sr1 0.0000 0.0000 0.0000 1
Zn1 0.0000 0.0000 0.5000 1
Mo1 0.5000 0.5000 0.3442 1
# **DFT formation energy**: 0.600 eV per atom
# **Fermi-level density of states**: 0.9208 states/eV per atom
# **Total moment**: 0.0 μB per formula unit
# **E_tot**: -25.7900 eV/atom

---

# 4
# K4BaCu, PBEsol geometry, DFT meta-GGA SCAN
data_K4BaCu
_space_group_name_H-M_alt 'F -4 3 m'
_space_group_IT_number 216
_space_group_name_Hall 'F -4 2 3'
_cell_length_a 11.0000
_cell_length_b 11.0000
_cell_length_c 11.0000
_cell_angle_alpha 90.00
_cell_angle_beta 90.00
_cell_angle_gamma 90.00
loop_
_atom_site_label
_atom_site_fract_x
_atom_site_fract_y
_atom_site_fract_z
_atom_site_occupancy
K1 0.1237 0.1237 0.1237 1
Ba1 0.0000 0.0000 0.5000 1
Cu1 0.2500 0.2500 0.7500 1
# **DFT formation energy**: 0.552 eV per atom
# **Fermi-level density of states**: 0.6577 states/eV per atom
# **Total moment**: 0.0 μB per formula unit
# **E_tot**: -14.1254 eV/atom

---

# 5
# P5Au4, PBEsol geometry, DFT meta-GGA SCAN
data_P5Au4
_space_group_name_H-M_alt 'I 4/m m m'
_space_group_IT_number 139
_space_group_name_Hall '-I 4 2'
_cell_length_a 9.7342
_cell_length_b 9.7342
_cell_length_c 3.0849
_cell_angle_alpha 90.00
_cell_angle_beta 90.00
_cell_angle_gamma 90.00
loop_
_atom_site_label
_atom_site_fract_x
_atom_site_fract_y
_atom_site_fract_z
_atom_site_occupancy
P1 0.0000 0.0000 0.0000 1
P2 0.1887 0.1887 0.5000 1
Au1 0.0000 0.3220 0.0000 1
# **DFT formation energy**: 0.570 eV per atom
# **Fermi-level density of states**: 0.4473 states/eV per atom
# **Total moment**: 0.0 μB per formula unit
# **E_tot**: -35.9436 eV/atom

---

# 6
# Ti2CrCoAs, PBEsol geometry, DFT meta-GGA SCAN
data_Ti2CrCoAs
_space_group_name_H-M_alt 'P 4/m m m'
_space_group_IT_number 123
_space_group_name_Hall '-P 4 2'
_cell_length_a 4.6357
_cell_length_b 4.6357
_cell_length_c 4.1989
_cell_angle_alpha 90.00
_cell_angle_beta 90.00
_cell_angle_gamma 90.00
loop_
_atom_site_label
_atom_site_fract_x
_atom_site_fract_y
_atom_site_fract_z
_atom_site_occupancy
Ti1 0.0000 0.5000 0.0000 1
Cr1 0.0000 0.0000 0.5000 1
Co1 0.5000 0.5000 0.5000 1
As1 0.5000 0.5000 0.0000 1
# **DFT formation energy**: 0.397 eV per atom
# **Fermi-level density of states**: 0.8625 states/eV per atom
# **Total moment**: 5.7 μB per formula unit
# **E_tot**: -17.1909 eV/atom

---

# 7
# CsRb2As2, PBEsol geometry, DFT meta-GGA SCAN
data_CsRb2As2
_space_group_name_H-M_alt 'P 4/m b m'
_space_group_IT_number 127
_space_group_name_Hall '-P 4 2ab'
_cell_length_a 8.7445
_cell_length_b 8.7445
_cell_length_c 5.1508
_cell_angle_alpha 90.00
_cell_angle_beta 90.00
_cell_angle_gamma 90.00
loop_
_atom_site_label
_atom_site_fract_x
_atom_site_fract_y
_atom_site_fract_z
_atom_site_occupancy
Cs1 0.0000 0.0000 0.0000 1
Rb1 0.1664 0.3336 0.5000 1
As1 0.0978 0.5978 0.0000 1
# **DFT formation energy**: -0.408 eV per atom
# **Fermi-level density of states**: 0.4641 states/eV per atom
# **Total moment**: 1.0 μB per formula unit
# **E_tot**: -24.3417 eV/atom

---

# 8
# NaCd2Si2, PBEsol geometry, DFT meta-GGA SCAN
data_NaCd2Si2
_space_group_name_H-M_alt 'I 4/m m m'
_space_group_IT_number 139
_space_group_name_Hall '-I 4 2'
_cell_length_a 4.4066
_cell_length_b 4.4066
_cell_length_c 10.8228
_cell_angle_alpha 90.00
_cell_angle_beta 90.00
_cell_angle_gamma 90.00
loop_
_atom_site_label
_atom_site_fract_x
_atom_site_fract_y
_atom_site_fract_z
_atom_site_occupancy
Na1 0.0000 0.0000 0.0000 1
Cd1 0.0000 0.5000 0.2500 1
Si1 0.0000 0.0000 0.3937 1
# **Fermi-level density of states**: 0.1857 states/eV per atom
# **Total moment**: 0.0 μB per formula unit
# **Formation energy (no corrections)**: 49 meV/atom
# **E_tot**: -16.9656 eV/atom

---

# 9
# SnH2W2, PBEsol geometry, DFT meta-GGA SCAN
data_SnH2W2
_space_group_name_H-M_alt 'I 4/m m m'
_space_group_IT_number 139
_space_group_name_Hall '-I 4 2'
_cell_length_a 3.2012
_cell_length_b 3.2012
_cell_length_c 10.9306
_cell_angle_alpha 90.00
_cell_angle_beta 90.00
_cell_angle_gamma 90.00
loop_
_atom_site_label
_atom_site_fract_x
_atom_site_fract_y
_atom_site_fract_z
_atom_site_occupancy
Sn1 0.0000 0.0000 0.0000 1
H1 0.0000 0.5000 0.2500 1
W1 0.0000 0.0000 0.3401 1
# **Fermi-level density of states**: 0.2694 states/eV per atom
# **Total moment**: 0.0 μB per formula unit
# **E_tot**: -35.9377 eV/atom

---

# 10
# LaSe2Cl, PBEsol geometry, DFT meta-GGA SCAN
data_LaSe2Cl
_space_group_name_H-M_alt 'F -4 3 m'
_space_group_IT_number 216
_space_group_name_Hall 'F -4 2 3'
_cell_length_a 7.1597
_cell_length_b 7.1597
_cell_length_c 7.1597
_cell_angle_alpha 90.00
_cell_angle_beta 90.00
_cell_angle_gamma 90.00
loop_
_atom_site_label
_atom_site_fract_x
_atom_site_fract_y
_atom_site_fract_z
_atom_site_occupancy
La1 0.0000 0.0000 0.0000 1
Se1 0.0000 0.0000 0.5000 1
Se2 0.2500 0.2500 0.7500 1
Cl1 0.2500 0.2500 0.2500 1
# **Fermi-level density of states**: 0.9819 states/eV per atom
# **Total moment**: 0.0 μB per formula unit
# **Formation energy (no corrections)**: -1233 meV/atom
# **Energy relative to the lowest polymorph listed for this composition**: 0.516 eV/atom
# **E_tot**: -24.0432 eV/atom

---

# 11
# Li3AlAu, PBEsol geometry, DFT meta-GGA SCAN
data_Li3AlAu
_space_group_name_H-M_alt 'P m -3 m'
_space_group_IT_number 221
_space_group_name_Hall '-P 4 2 3'
_cell_length_a 4.7263
_cell_length_b 4.7263
_cell_length_c 4.7263
_cell_angle_alpha 90.00
_cell_angle_beta 90.00
_cell_angle_gamma 90.00
loop_
_atom_site_label
_atom_site_fract_x
_atom_site_fract_y
_atom_site_fract_z
_atom_site_occupancy
Li1 0.0000 0.0000 0.5000 1
Al1 0.5000 0.5000 0.5000 1
Au1 0.0000 0.0000 0.0000 1
# **DFT formation energy**: 0.009 eV per atom
# **Fermi-level density of states**: 0.4234 states/eV per atom
# **Total moment**: 0.0 μB per formula unit
# **E_tot**: -16.8063 eV/atom

---

# 12
# Y2BeNi, PBEsol geometry, DFT meta-GGA SCAN
data_Y2BeNi
_space_group_name_H-M_alt 'A m m 2'
_space_group_IT_number 38
_cell_length_a 4.1136
_cell_length_b 3.7769
_cell_length_c 10.0996
_cell_angle_alpha 90.00
_cell_angle_beta 90.00
_cell_angle_gamma 90.00
loop_
_space_group_symop_operation_xyz
'x,y,z'
'-x,-y,z'
'-x,y,z'
'x,-y,z'
'x,y+1/2,z+1/2'
'-x,-y+1/2,z+1/2'
'-x,y+1/2,z+1/2'
'x,-y+1/2,z+1/2'
loop_
_atom_site_label
_atom_site_fract_x
_atom_site_fract_y
_atom_site_fract_z
_atom_site_occupancy
Y1 0.0000 0.0000 0.0000 1
Y2 0.5000 0.0000 0.2815 1
Be1 0.0000 0.0000 0.7000 1
Ni1 0.5000 0.0000 0.5875 1
# **DFT formation energy**: -0.217 eV per atom
# **Fermi-level density of states**: 0.8318 states/eV per atom
# **Total moment**: 0.1 μB per formula unit
# **E_tot**: -19.2700 eV/atom

---

# 13
# CsTl3O, PBEsol geometry, DFT meta-GGA SCAN
data_CsTl3O
_space_group_name_H-M_alt 'P m -3 m'
_space_group_IT_number 221
_space_group_name_Hall '-P 4 2 3'
_cell_length_a 5.3307
_cell_length_b 5.3307
_cell_length_c 5.3307
_cell_angle_alpha 90.00
_cell_angle_beta 90.00
_cell_angle_gamma 90.00
loop_
_atom_site_label
_atom_site_fract_x
_atom_site_fract_y
_atom_site_fract_z
_atom_site_occupancy
Cs1 0.0000 0.0000 0.0000 1
Tl1 0.0000 0.5000 0.5000 1
O1 0.5000 0.5000 0.5000 1
# **Fermi-level density of states**: 0.5366 states/eV per atom
# **Total moment**: 0.0 μB per formula unit
# **Formation energy (no corrections)**: -159 meV/atom
# **E_tot**: -52.3828 eV/atom